[1]
The following is a DFT calculation (PBE-GGA) of UMnTlCl6 after structural relaxation.

CIF file:
```
data_UMnTlCl6
_chemical_formula_sum 'U2 Mn2 Tl2 Cl12'
_cell_length_a 6.3456
_cell_length_b 6.3456
_cell_length_c 15.2410
_cell_angle_alpha 90.00
_cell_angle_beta 90.00
_cell_angle_gamma 120.00
_symmetry_space_group_name_H-M 'P -3 1 c'
_symmetry_Int_Tables_number 163
_symmetry_space_group_name_Hall '-P 3 2c'
loop_
_atom_site_label
_atom_site_type_symbol
_atom_site_fract_x
_atom_site_fract_y
_atom_site_fract_z
_atom_site_occupancy
U1 U 0.3333 0.6667 0.2500 1
Mn1 Mn 0.3333 0.6667 0.7500 1
Tl1 Tl 0.0000 0.0000 0.0000 1
Cl1 Cl 0.0396 0.3671 0.6544 1
```

Summary:
**E_form (uncorrected)**: -108.5 kJ per mole of atoms
**Uncorrected energy**: -4.891 eV per atom

[2]
The following is a DFT calculation (PBE-GGA) of TbHoP2Rh5 after structural relaxation.

CIF file:
```
data_TbHoP2Rh5
_chemical_formula_sum 'Tb1 Ho1 P2 Rh5'
_cell_length_a 4.025
_cell_length_b 4.025
_cell_length_c 10.732
_cell_angle_alpha 90.00
_cell_angle_beta 90.00
_cell_angle_gamma 90.00
_symmetry_space_group_name_H-M 'P 4/m m m'
_symmetry_Int_Tables_number 123
_symmetry_space_group_name_Hall '-P 4 2'
loop_
_atom_site_label
_atom_site_type_symbol
_atom_site_fract_x
_atom_site_fract_y
_atom_site_fract_z
_atom_site_occupancy
Tb1 Tb 0.000 0.000 0.000 1
Ho1 Ho 0.000 0.000 0.500 1
P1 P 0.500 0.500 0.211 1
Rh1 Rh 0.000 0.500 0.305 1
Rh2 Rh 0.500 0.500 0.000 1
```

Summary:
**Formation energy**: -746 meV/atom
**Uncorrected energy**: -7.056 eV per atom

[3]
The following is a DFT calculation (PBE-GGA) of SmCdInHg after structural relaxation.

CIF file:
```
data_SmCdInHg
_chemical_formula_sum 'Sm1 Cd1 In1 Hg1'
_cell_length_a 4.400
_cell_length_b 4.779
_cell_length_c 4.796
_cell_angle_alpha 90.00
_cell_angle_beta 90.00
_cell_angle_gamma 90.00
_symmetry_space_group_name_H-M 'P m m m'
_symmetry_Int_Tables_number 47
_symmetry_space_group_name_Hall '-P 2 2'
loop_
_atom_site_label
_atom_site_type_symbol
_atom_site_fract_x
_atom_site_fract_y
_atom_site_fract_z
_atom_site_occupancy
Sm1 Sm 0.000 0.000 0.000 1
Cd1 Cd 0.000 0.500 0.500 1
In1 In 0.500 0.500 0.000 1
Hg1 Hg 0.500 0.000 0.500 1
```

Summary:
**Formation energy**: -367 meV/atom
**Uncorrected energy**: -2.536 eV per atom

[4]
The following is a DFT calculation (PBE-GGA) of BeSeCl after structural relaxation.

CIF file:
```
data_BeSeCl
_chemical_formula_sum 'Be1 Se1 Cl1'
_cell_length_a 3.1680
_cell_length_b 3.1680
_cell_length_c 7.0434
_cell_angle_alpha 90.00
_cell_angle_beta 90.00
_cell_angle_gamma 120.00
_symmetry_space_group_name_H-M 'P 3 m 1'
_symmetry_Int_Tables_number 156
_symmetry_space_group_name_Hall 'P 3 -2"'
loop_
_atom_site_label
_atom_site_type_symbol
_atom_site_fract_x
_atom_site_fract_y
_atom_site_fract_z
_atom_site_occupancy
Be1 Be 0.0000 0.0000 0.0000 1
Se1 Se 0.3333 0.6667 0.7658 1
Cl1 Cl 0.6667 0.3333 0.1750 1
```

Summary:
**E_form (uncorrected)**: -54.7 kJ per mole of atoms
**Uncorrected energy**: -3.586 eV per atom